BeCd2Tc | PBE | relaxed

The structure in POSCAR format:
```
BeCd2Tc
1.0
-1.677 1.269 4.865
-4.032 0.510 3.402
-0.535 -3.845 2.855
Tc Cd Be
1 2 1
direct
0.535 0.535 0.436
0.975 0.975 0.994
0.756 0.756 0.760
0.234 0.234 0.311
```

Calculated values
Formation enthalpy at 0 K, eV per formula unit: 1.58
Crystal system: monoclinic
E_tot, eV for the cell shown: -14.3
Space group: Cm, No. 8

***

BeCd2Tc | PBE | relaxed

The structure in POSCAR format:
```
BeCd2Tc
1.0
9.217 0.002 0.001
8.769 2.839 0.001
8.769 1.385 2.478
Cd Be Tc
2 1 1
direct
0.494 0.494 0.494
0.006 0.006 0.006
0.750 0.750 0.750
0.250 0.250 0.250
```

Calculated values
Formation enthalpy at 0 K, eV per formula unit: 2.21
Crystal system: trigonal
E_tot, eV for the cell shown: -13.7
Space group: R-3m, No. 166

***

BeCd2Tc | PBE | relaxed

The structure in POSCAR format:
```
BeCd2Tc
1.0
9.527 0.001 0.001
9.093 2.842 0.001
9.093 1.388 2.479
Tc Be Cd
1 1 2
direct
0.488 0.488 0.488
0.760 0.760 0.760
0.011 0.011 0.011
0.241 0.241 0.241
```

Calculated values
Formation enthalpy at 0 K, eV per formula unit: 1.42
Crystal system: trigonal
E_tot, eV for the cell shown: -14.5
Space group: R3m, No. 160

***

BeCdTc2 | PBE | relaxed

The structure in POSCAR format:
```
BeCdTc2
1.0
4.351 0.000 0.000
2.175 3.768 0.000
2.175 1.256 3.552
Tc Be Cd
2 1 1
direct
0.000 0.000 0.000
0.750 0.750 0.750
0.500 0.500 0.500
0.250 0.250 0.250
```

Calculated values
Formation enthalpy at 0 K, eV per formula unit: 1.34
Crystal system: cubic
E_tot, eV for the cell shown: -24.0
Space group: F-43m, No. 216
Energy relative to the lowest polymorph listed for this composition, meV/atom: 270

***

BeCd2Tc | PBE | relaxed

The structure in POSCAR format:
```
BeCd2Tc
1.0
5.074 0.000 0.000
-2.129 4.606 0.000
0.000 0.000 2.808
Cd Be Tc
2 1 1
direct
0.000 0.000 0.000
0.500 0.500 0.000
0.000 0.500 0.500
0.500 0.000 0.500
```

Calculated values
Formation enthalpy at 0 K, eV per formula unit: 1.96
Crystal system: orthorhombic
E_tot, eV for the cell shown: -14.0
Space group: Cmmm, No. 65

***

BeCdTc2 | PBE | relaxed

The structure in POSCAR format:
```
BeCdTc2
1.0
4.513 0.000 -0.001
3.641 2.666 -0.001
0.645 0.211 5.023
Be Tc Cd
1 2 1
direct
0.509 0.509 0.468
0.996 0.996 0.060
0.244 0.244 0.244
0.751 0.751 0.728
```

Calculated values
Formation enthalpy at 0 K, eV per formula unit: 1.33
Crystal system: monoclinic
E_tot, eV for the cell shown: -24.0
Space group: Cm, No. 8
Energy relative to the lowest polymorph listed for this composition, meV/atom: 266

***

BeCd2Tc | PBE | relaxed

The structure in POSCAR format:
```
BeCd2Tc
1.0
5.488 -0.008 0.002
2.870 4.678 -0.002
-3.636 -3.307 2.442
Tc Be Cd
1 1 2
direct
0.250 0.750 0.500
0.750 0.250 0.500
0.965 0.965 0.000
0.535 0.535 0.000
```

Calculated values
Formation enthalpy at 0 K, eV per formula unit: 1.78
Crystal system: orthorhombic
E_tot, eV for the cell shown: -14.1
Space group: Immm, No. 71

***

BeCd2Tc | PBE | relaxed

The structure in POSCAR format:
```
BeCd2Tc
1.0
-0.435 -2.910 1.089
2.089 0.458 2.056
-4.917 2.404 4.460
Be Cd Tc
1 2 1
direct
0.500 0.500 0.691
0.000 0.000 0.964
0.500 0.500 0.283
0.000 0.000 0.562
```

Calculated values
Formation enthalpy at 0 K, eV per formula unit: 0.98
Crystal system: orthorhombic
E_tot, eV for the cell shown: -14.9
Space group: Pmm2, No. 25